--- i ---
Entry from Alexandria: an optimized crystal structure of ScAl3N (GGA-PBEsol).

Cell lengths 4.1866, 4.1866, 4.1866 Å; angles 90.00, 90.00, 90.00 degrees
Closest atoms and distances in Å follow each position.
Space group Pm-3m (No. 221)
Symmetry-distinct sites (fractional):
1 Sc 0.0000 0.0000 0.0000  12 Al 2.96
2 Al 0.0000 0.5000 0.5000  2 N 2.09
3 N 0.5000 0.5000 0.5000  6 Al 2.09

Values from the calculation:
Volume   14.68 Å³/atom
N(E_F)   4.449 states/eV per cell
Crystal system   cubic



--- ii ---
Entry from Alexandria: an optimized crystal structure of ScAl3N (GGA-PBEsol).

Cell lengths 5.3143, 5.3143, 5.3143 Å; angles 90.00, 90.00, 90.00 degrees
Closest atoms and distances in Å follow each position.
Space group Pm-3m (No. 221)
Symmetry-distinct sites (fractional):
1 Sc 0.0000 0.0000 0.0000  6 Al 2.66
2 Al 0.0000 0.0000 0.5000  2 Sc 2.66
3 N 0.5000 0.5000 0.5000  12 Al 3.76

Values from the calculation:
Volume   30.02 Å³/atom
N(E_F)   5.233 states/eV per cell
Crystal system   cubic



Stability, lowest: ii



--- i ---
Entry from Alexandria: an optimized crystal structure of ZrAlSe2N (GGA-PBEsol).

Cell lengths 5.2705, 5.2705, 3.9356 Å; angles 90.00, 90.00, 90.00 degrees
Closest atoms and distances in Å follow each position.
Space group P4/mmm (No. 123)
Symmetry-distinct sites (fractional):
1 Zr 0.0000 0.0000 0.0000  2 N 1.97
2 Al 0.5000 0.5000 0.5000  8 Se 3.29
3 Se 0.0000 0.5000 0.0000  2 Zr 2.64
4 N 0.0000 0.0000 0.5000  2 Zr 1.97

Values from the calculation:
Volume   21.86 Å³/atom
N(E_F)   4.298 states/eV per cell
Crystal system   tetragonal



--- ii ---
Entry from Alexandria: an optimized crystal structure of ZrAlSe2N (GGA-PBEsol).

Cell lengths 4.9315, 4.9315, 3.5284 Å; angles 90.00, 90.00, 90.00 degrees
Closest atoms and distances in Å follow each position.
Space group P4/mmm (No. 123)
Symmetry-distinct sites (fractional):
1 Zr 0.0000 0.0000 0.0000  8 Se 3.03
2 Al 0.5000 0.5000 0.5000  2 N 1.76
3 Se 0.0000 0.5000 0.5000  2 Al 2.47
4 N 0.5000 0.5000 0.0000  2 Al 1.76

Values from the calculation:
Volume   17.16 Å³/atom
N(E_F)   2.893 states/eV per cell
Crystal system   tetragonal



Stability, lowest: i



--- i ---
Entry from Alexandria: an optimized crystal structure of AlTeN2 (GGA-PBEsol).

Cell lengths 3.1041, 3.1041, 18.0668 Å; angles 90.00, 90.00, 120.00 degrees
Closest atoms and distances in Å follow each position.
Space group R-3m (No. 166, hexagonal axes)
Symmetry-distinct sites (fractional):
1 Al 0.0000 0.0000 0.0000  6 N 2.04
2 Te 0.0000 0.0000 0.5000  2 N 2.04
3 N 0.0000 0.0000 0.3869  3 Al 2.04, 1 Te 2.04

Values from the calculation:
Volume   12.56 Å³/atom
N(E_F)   3.501 states/eV per cell
Crystal system   trigonal



--- ii ---
Entry from Alexandria: an optimized crystal structure of AlTeN2 (GGA-PBEsol).

Cell lengths 3.4432, 3.4432, 17.7931 Å; angles 90.00, 90.00, 120.00 degrees
Closest atoms and distances in Å follow each position.
Space group R-3m (No. 166, hexagonal axes)
Symmetry-distinct sites (fractional):
1 Al 0.0000 0.0000 0.0000  2 N 1.82
2 Te 0.0000 0.0000 0.5000  6 N 2.29
3 N 0.0000 0.0000 0.1024  1 Al 1.82

Values from the calculation:
Volume   15.22 Å³/atom
N(E_F)   4.205 states/eV per cell
Crystal system   trigonal



Stability, lowest: ii